A plane-wave DFT calculation with PBE was carried out for a relaxed LiNd4Hg2 crystal.

Structure (POSCAR):
```
LiNd4Hg2
1.0
2.681 1.548 8.736
-2.681 1.548 8.736
0.000 -3.095 8.736
Li Nd Hg
1 4 2
direct
0.000 0.000 0.000 Li
0.216 0.216 0.216 Nd
0.373 0.373 0.373 Nd
0.627 0.627 0.627 Nd
0.784 0.784 0.784 Nd
0.095 0.095 0.095 Hg
0.905 0.905 0.905 Hg
```

For the final energy, the calculation gives -0.117 Ha/atom. As for the symmetry: R-3m, No. 166. The value obtained for the formation energy is -0.10 eV/atom. The magnetization is 0.004 μB/f.u.